(a)
The following is a DFT calculation (GGA-PBE) of crystalline YCoNi2 at its relaxed geometry.

The structure in POSCAR format:
```
YCoNi2
1.0
-1.941 1.941 3.894
1.941 -1.941 3.894
1.941 1.941 -3.894
Y Co Ni
1 1 2
direct
0.000 0.000 0.000 Y
0.250 0.750 0.500 Co
0.500 0.500 0.000 Ni
0.750 0.250 0.500 Ni
```

(b)
The following is a DFT calculation (GGA-PBE) of crystalline YCoNi2 at its relaxed geometry.

The structure in POSCAR format:
```
YCoNi2
1.0
-1.961 1.961 3.821
1.961 -1.961 3.821
1.961 1.961 -3.821
Y Co Ni
1 1 2
direct
0.000 0.000 0.000 Y
0.500 0.500 0.000 Co
0.250 0.750 0.500 Ni
0.750 0.250 0.500 Ni
```

(c)
The following is a DFT calculation (GGA-PBE) of crystalline YCoNi2 at its relaxed geometry.

The structure in POSCAR format:
```
YCoNi2
1.0
3.494 -2.016 0.000
3.494 2.016 0.000
-2.317 0.000 4.596
Y Co Ni
1 1 2
direct
0.000 0.000 0.000 Y
0.806 0.806 0.420 Co
0.197 0.197 0.594 Ni
0.488 0.488 0.465 Ni
```

Most stable: (c). Least stable: (a).

(a)
The following is a DFT calculation (GGA-PBE) of crystalline YCoNi2 at its relaxed geometry.

The structure in POSCAR format:
```
YCoNi2
1.0
0.000 3.081 3.081
3.081 0.000 3.081
3.081 3.081 0.000
Y Co Ni
1 1 2
direct
0.000 0.000 0.000 Y
0.750 0.750 0.750 Co
0.250 0.250 0.250 Ni
0.500 0.500 0.500 Ni
```

(b)
The following is a DFT calculation (GGA-PBE) of crystalline YCoNi2 at its relaxed geometry.

The structure in POSCAR format:
```
YCoNi2
1.0
3.891 0.000 0.000
0.000 3.891 0.000
0.000 0.000 3.834
Y Co Ni
1 1 2
direct
0.000 0.000 0.000 Y
0.500 0.500 0.000 Co
0.000 0.500 0.500 Ni
0.500 0.000 0.500 Ni
```

(c)
The following is a DFT calculation (GGA-PBE) of crystalline YCoNi2 at its relaxed geometry.

The structure in POSCAR format:
```
YCoNi2
1.0
0.000 3.101 3.101
3.101 0.000 3.101
3.101 3.101 0.000
Y Co Ni
1 1 2
direct
0.000 0.000 0.000 Y
0.500 0.500 0.500 Co
0.250 0.250 0.250 Ni
0.750 0.750 0.750 Ni
```

(d)
The following is a DFT calculation (GGA-PBE) of crystalline YCoNi2 at its relaxed geometry.

The structure in POSCAR format:
```
YCoNi2
1.0
-2.128 2.128 7.894
2.128 -2.128 7.894
2.128 2.128 -7.894
Y Co Ni
2 2 4
direct
0.000 0.000 0.000 Y
0.750 0.250 0.500 Y
0.250 0.750 0.500 Co
0.500 0.500 0.000 Co
0.289 0.625 0.164 Ni
0.375 0.539 0.664 Ni
0.461 0.125 0.836 Ni
0.875 0.711 0.336 Ni
```

Most stable: (b). Least stable: (d).

(a)
The following is a DFT calculation (GGA-PBE) of crystalline YCoNi at its relaxed geometry.

The structure in POSCAR format:
```
YCoNi
1.0
-1.628 1.628 4.723
1.628 -1.628 4.723
1.628 1.628 -4.723
Y Co Ni
1 1 1
direct
0.000 0.000 0.000 Y
0.703 0.703 0.000 Co
0.297 0.297 0.000 Ni
```

(b)
The following is a DFT calculation (GGA-PBE) of crystalline YCoNi at its relaxed geometry.

The structure in POSCAR format:
```
YCoNi
1.0
-2.477 2.553 3.668
2.477 -2.553 3.668
2.477 2.553 -3.668
Y Co Ni
2 2 2
direct
0.372 0.122 0.250 Y
0.628 0.878 0.750 Y
0.000 0.000 0.500 Co
0.000 0.500 0.000 Co
0.000 0.500 0.500 Ni
0.500 0.500 0.000 Ni
```

(c)
The following is a DFT calculation (GGA-PBE) of crystalline YCoNi at its relaxed geometry.

The structure in POSCAR format:
```
YCoNi
1.0
0.000 3.060 3.060
3.060 0.000 3.060
3.060 3.060 0.000
Y Co Ni
1 1 1
direct
0.000 0.000 0.000 Y
0.750 0.750 0.750 Co
0.250 0.250 0.250 Ni
```

(d)
The following is a DFT calculation (GGA-PBE) of crystalline YCoNi at its relaxed geometry.

The structure in POSCAR format:
```
YCoNi
1.0
3.924 0.000 0.000
-1.962 3.398 0.000
0.000 0.000 3.866
Y Co Ni
1 1 1
direct
0.000 0.000 0.000 Y
0.333 0.667 0.500 Co
0.667 0.333 0.500 Ni
```

Most stable: (b). Least stable: (c).

(a)
The following is a DFT calculation (GGA-PBE) of crystalline Zn2CoNi2 at its relaxed geometry.

The structure in POSCAR format:
```
Zn2CoNi2
1.0
6.899 0.000 0.000
0.000 6.899 0.000
0.000 0.000 2.631
Zn Co Ni
4 2 4
direct
0.172 0.328 0.000 Zn
0.328 0.828 0.000 Zn
0.672 0.172 0.000 Zn
0.828 0.672 0.000 Zn
0.000 0.000 0.500 Co
0.500 0.500 0.500 Co
0.126 0.626 0.500 Ni
0.374 0.126 0.500 Ni
0.626 0.874 0.500 Ni
0.874 0.374 0.500 Ni
```

(b)
The following is a DFT calculation (GGA-PBE) of crystalline Zn2CoNi2 at its relaxed geometry.

The structure in POSCAR format:
```
Zn2CoNi2
1.0
-1.645 1.645 6.104
1.645 -1.645 6.104
1.645 1.645 -6.104
Zn Co Ni
2 1 2
direct
0.099 0.099 0.000 Zn
0.901 0.901 0.000 Zn
0.500 0.500 0.000 Co
0.250 0.750 0.500 Ni
0.750 0.250 0.500 Ni
```

Most stable: (a). Least stable: (b).